# 1
A plane-wave DFT calculation with PBE was carried out for BaPr2ZnO5 after structural relaxation.

The structure in POSCAR format:
```
BaPr2ZnO5
1.0
6.753 0.000 0.000
0.000 6.753 0.000
0.000 0.000 5.932
Ba Pr Zn O
2 4 2 10
Direct
0.000 0.000 0.000
0.500 0.500 0.000
0.171 0.329 0.500
0.329 0.829 0.500
0.671 0.171 0.500
0.829 0.671 0.500
0.000 0.500 0.000
0.500 0.000 0.000
0.000 0.000 0.500
0.144 0.644 0.242
0.144 0.644 0.758
0.356 0.144 0.242
0.356 0.144 0.758
0.500 0.500 0.500
0.644 0.856 0.242
0.644 0.856 0.758
0.856 0.356 0.242
0.856 0.356 0.758
```

As for the size of the total moment: 0.0006 μB/atom. As for the crystal system: tetragonal. As for the total DFT energy (no corrections): -6.820 eV/atom. The relative energy among the computed polymorphs is 0.073 eV per atom.


# 2
A plane-wave DFT calculation with PBE was carried out for BaAlAgS3 after structural relaxation.

The structure in POSCAR format:
```
BaAlAgS3
1.0
7.811 0.000 0.000
0.000 3.960 0.000
-2.740 0.000 8.656
Ba Al Ag S
2 2 2 6
Direct
0.225 0.250 0.263
0.775 0.750 0.737
0.332 0.750 0.858
0.668 0.250 0.142
0.088 0.250 0.596
0.912 0.750 0.404
0.124 0.250 0.878
0.286 0.750 0.575
0.454 0.750 0.129
0.546 0.250 0.871
0.714 0.250 0.425
0.876 0.750 0.122
```

As for the crystal system: monoclinic. As for the total DFT energy (no corrections): -4.539 eV/atom.


# 3
A plane-wave DFT calculation with PBE was carried out for SrNdAgTe2Se after structural relaxation.

The structure in POSCAR format:
```
SrNdAgTe2Se
1.0
2.216 -7.346 0.000
2.216 7.346 0.000
0.000 0.000 11.097
Sr Nd Ag Te Se
2 2 2 4 2
Direct
0.237 0.763 0.750
0.763 0.237 0.250
0.500 0.500 0.000
0.500 0.500 0.500
0.025 0.975 0.250
0.975 0.025 0.750
0.150 0.850 0.059
0.150 0.850 0.441
0.850 0.150 0.559
0.850 0.150 0.941
0.417 0.583 0.250
0.583 0.417 0.750
```

As for the size of the total moment: 0.0001 μB/atom. As for the crystal system: orthorhombic. As for the total DFT energy (no corrections): -4.498 eV/atom.


# 4
A plane-wave DFT calculation with PBE was carried out for LiTmAu after structural relaxation.

The structure in POSCAR format:
```
LiTmAu
1.0
6.614 0.000 0.000
0.000 6.614 0.000
0.000 0.000 6.614
Li Tm Au
4 4 4
Direct
0.000 0.000 0.000
0.000 0.500 0.500
0.500 0.000 0.500
0.500 0.500 0.000
0.250 0.250 0.750
0.250 0.750 0.250
0.750 0.250 0.250
0.750 0.750 0.750
0.000 0.000 0.500
0.000 0.500 0.000
0.500 0.000 0.000
0.500 0.500 0.500
```

As for the size of the total moment: 0.0001 μB/atom. As for the crystal system: cubic. As for the total DFT energy (no corrections): -3.310 eV/atom. The relative energy among the computed polymorphs is 0.115 eV per atom.


# 5
A plane-wave DFT calculation with PBE was carried out for LiSc2Pt after structural relaxation.

The structure in POSCAR format:
```
LiSc2Pt
1.0
4.130 0.000 0.000
-2.065 3.577 0.000
0.000 0.000 11.113
Li Sc Pt
2 4 2
Direct
0.333 0.667 0.250
0.667 0.333 0.750
0.333 0.667 0.609
0.333 0.667 0.891
0.667 0.333 0.109
0.667 0.333 0.391
0.000 0.000 0.250
0.000 0.000 0.750
```

As for the size of the total moment: 0.0802 μB/atom. As for the crystal system: hexagonal. As for the total DFT energy (no corrections): -5.510 eV/atom. The relative energy among the computed polymorphs is 0.385 eV per atom.


# 6
A plane-wave DFT calculation with PBE was carried out for Ho3Tm3FeBi2 after structural relaxation.

The structure in POSCAR format:
```
Ho3Tm3FeBi2
1.0
8.259 0.000 0.000
-4.130 7.153 0.000
0.000 0.000 4.107
Ho Tm Fe Bi
3 3 1 2
Direct
0.000 0.231 0.000
0.231 0.000 0.000
0.769 0.769 0.000
0.000 0.611 0.500
0.389 0.389 0.500
0.611 0.000 0.500
0.000 0.000 0.500
0.333 0.667 0.000
0.667 0.333 0.000
```

As for the size of the total moment: 0.0000 μB/atom. As for the crystal system: hexagonal. As for the total DFT energy (no corrections): -5.248 eV/atom. The relative energy among the computed polymorphs is 0.039 eV per atom.


# 7
A plane-wave DFT calculation with PBE was carried out for GaTeIr after structural relaxation.

The structure in POSCAR format:
```
GaTeIr
1.0
6.262 0.000 0.000
0.000 6.262 0.000
0.000 0.000 6.262
Ga Te Ir
4 4 4
Direct
0.000 0.000 0.000
0.000 0.500 0.500
0.500 0.000 0.500
0.500 0.500 0.000
0.000 0.000 0.500
0.000 0.500 0.000
0.500 0.000 0.000
0.500 0.500 0.500
0.250 0.250 0.250
0.250 0.750 0.750
0.750 0.250 0.750
0.750 0.750 0.250
```

As for the size of the total moment: 0.0002 μB/atom. As for the crystal system: cubic. As for the total DFT energy (no corrections): -5.192 eV/atom. The relative energy among the computed polymorphs is 0.000 eV per atom.


# 8
A plane-wave DFT calculation with PBE was carried out for Zn2Ni3B after structural relaxation.

The structure in POSCAR format:
```
Zn2Ni3B
1.0
8.497 -1.322 0.000
8.497 1.322 0.000
-2.258 0.000 5.781
Zn Ni B
4 6 2
Direct
0.013 0.013 0.221
0.175 0.175 0.442
0.825 0.825 0.558
0.987 0.987 0.779
0.260 0.260 0.180
0.383 0.383 0.940
0.421 0.421 0.389
0.579 0.579 0.611
0.617 0.617 0.060
0.740 0.740 0.820
0.154 0.154 0.859
0.846 0.846 0.141
```

As for the size of the total moment: 0.0012 μB/atom. As for the crystal system: monoclinic. As for the total DFT energy (no corrections): -4.605 eV/atom.


# 9
A plane-wave DFT calculation with PBE was carried out for Tm2HgO4 after structural relaxation.

The structure in POSCAR format:
```
Tm2HgO4
1.0
0.000 4.741 4.741
4.741 0.000 4.741
4.741 4.741 0.000
Tm Hg O
4 2 8
Direct
0.000 0.000 0.000
0.000 0.000 0.500
0.000 0.500 0.000
0.500 0.000 0.000
0.375 0.375 0.375
0.625 0.625 0.625
0.204 0.765 0.765
0.235 0.235 0.235
0.235 0.235 0.796
0.235 0.796 0.235
0.765 0.204 0.765
0.765 0.765 0.204
0.765 0.765 0.765
0.796 0.235 0.235
```

As for the size of the total moment: 0.0000 μB/atom. As for the crystal system: cubic. As for the total DFT energy (no corrections): -6.787 eV/atom.


# 10
A plane-wave DFT calculation with PBE was carried out for NaReW after structural relaxation.

The structure in POSCAR format:
```
NaReW
1.0
6.128 0.000 0.000
0.000 6.128 0.000
0.000 0.000 6.128
Na Re W
4 4 4
Direct
0.000 0.000 0.000
0.000 0.500 0.500
0.500 0.000 0.500
0.500 0.500 0.000
0.250 0.250 0.250
0.250 0.750 0.750
0.750 0.250 0.750
0.750 0.750 0.250
0.000 0.000 0.500
0.000 0.500 0.000
0.500 0.000 0.000
0.500 0.500 0.500
```

As for the size of the total moment: 0.0012 μB/atom. As for the crystal system: cubic. As for the total DFT energy (no corrections): -7.459 eV/atom. The relative energy among the computed polymorphs is 0.000 eV per atom.


# 11
A plane-wave DFT calculation with PBE was carried out for NaZrBPt after structural relaxation.

The structure in POSCAR format:
```
NaZrBPt
1.0
6.223 0.000 0.000
0.000 6.223 0.000
0.000 0.000 6.223
Na Zr B Pt
4 4 4 4
Direct
0.000 0.000 0.000
0.000 0.500 0.500
0.500 0.000 0.500
0.500 0.500 0.000
0.250 0.250 0.750
0.250 0.750 0.250
0.750 0.250 0.250
0.750 0.750 0.750
0.250 0.250 0.250
0.250 0.750 0.750
0.750 0.250 0.750
0.750 0.750 0.250
0.000 0.000 0.500
0.000 0.500 0.000
0.500 0.000 0.000
0.500 0.500 0.500
```

As for the size of the total moment: 0.0010 μB/atom. As for the crystal system: cubic. As for the total DFT energy (no corrections): -5.499 eV/atom. The relative energy among the computed polymorphs is 0.000 eV per atom.


# 12
A plane-wave DFT calculation with PBE was carried out for Nb2CdSb after structural relaxation.

The structure in POSCAR format:
```
Nb2CdSb
1.0
6.833 0.000 0.000
0.000 6.833 0.000
0.000 0.000 6.833
Nb Cd Sb
8 4 4
Direct
0.000 0.000 0.000
0.000 0.500 0.500
0.250 0.250 0.250
0.250 0.750 0.750
0.500 0.000 0.500
0.500 0.500 0.000
0.750 0.250 0.750
0.750 0.750 0.250
0.250 0.250 0.750
0.250 0.750 0.250
0.750 0.250 0.250
0.750 0.750 0.750
0.000 0.000 0.500
0.000 0.500 0.000
0.500 0.000 0.000
0.500 0.500 0.500
```

As for the size of the total moment: 0.0026 μB/atom. As for the crystal system: cubic. As for the total DFT energy (no corrections): -5.897 eV/atom.


# 13
A plane-wave DFT calculation with PBE was carried out for Li3Ho3Sn2Ge after structural relaxation.

The structure in POSCAR format:
```
Li3Ho3Sn2Ge
1.0
7.251 0.000 0.000
-3.626 6.280 0.000
0.000 0.000 4.451
Li Ho Sn Ge
3 3 2 1
Direct
0.000 0.773 0.000
0.227 0.227 0.000
0.773 0.000 0.000
0.000 0.411 0.500
0.411 0.000 0.500
0.589 0.589 0.500
0.333 0.667 0.000
0.667 0.333 0.000
0.000 0.000 0.500
```

As for the size of the total moment: 0.0002 μB/atom. As for the crystal system: hexagonal. As for the total DFT energy (no corrections): -4.204 eV/atom.


# 14
A plane-wave DFT calculation with PBE was carried out for GdErSn after structural relaxation.

The structure in POSCAR format:
```
GdErSn
1.0
7.253 0.000 0.000
0.000 7.253 0.000
0.000 0.000 7.253
Gd Er Sn
4 4 4
Direct
0.000 0.000 0.000
0.000 0.500 0.500
0.500 0.000 0.500
0.500 0.500 0.000
0.000 0.000 0.500
0.000 0.500 0.000
0.500 0.000 0.000
0.500 0.500 0.500
0.250 0.250 0.750
0.250 0.750 0.250
0.750 0.250 0.250
0.750 0.750 0.750
```

As for the size of the total moment: 0.0092 μB/atom. As for the crystal system: cubic. As for the total DFT energy (no corrections): -4.795 eV/atom. The relative energy among the computed polymorphs is 0.000 eV per atom.


# 15
A plane-wave DFT calculation with PBE was carried out for LuCdCuAg after structural relaxation.

The structure in POSCAR format:
```
LuCdCuAg
1.0
6.734 0.000 0.000
0.000 6.734 0.000
0.000 0.000 6.734
Lu Cd Cu Ag
4 4 4 4
Direct
0.000 0.000 0.000
0.000 0.500 0.500
0.500 0.000 0.500
0.500 0.500 0.000
0.250 0.250 0.750
0.250 0.750 0.250
0.750 0.250 0.250
0.750 0.750 0.750
0.250 0.250 0.250
0.250 0.750 0.750
0.750 0.250 0.750
0.750 0.750 0.250
0.000 0.000 0.500
0.000 0.500 0.000
0.500 0.000 0.000
0.500 0.500 0.500
```

The formation energy is -50 kJ/mol of formula units. As for the size of the total moment: 0.0003 μB/atom. As for the crystal system: cubic. As for the total DFT energy (no corrections): -3.119 eV/atom. The relative energy among the computed polymorphs is 0.095 eV per atom.


# 16
A plane-wave DFT calculation with PBE was carried out for BeNiPd after structural relaxation.

The structure in POSCAR format:
```
BeNiPd
1.0
2.693 0.000 0.000
0.000 2.693 0.000
0.000 0.000 9.205
Be Ni Pd
2 2 2
Direct
0.000 0.000 0.000
0.500 0.500 0.500
0.000 0.000 0.364
0.000 0.000 0.636
0.500 0.500 0.158
0.500 0.500 0.842
```

As for the size of the total moment: 0.0024 μB/atom. As for the crystal system: tetragonal. As for the total DFT energy (no corrections): -5.191 eV/atom. The relative energy among the computed polymorphs is 0.013 eV per atom.


# 17
A plane-wave DFT calculation with PBE was carried out for LiCoSbOs after structural relaxation.

The structure in POSCAR format:
```
LiCoSbOs
1.0
6.067 0.000 0.000
0.000 6.067 0.000
0.000 0.000 6.067
Li Co Sb Os
4 4 4 4
Direct
0.000 0.000 0.000
0.000 0.500 0.500
0.500 0.000 0.500
0.500 0.500 0.000
0.250 0.250 0.750
0.250 0.750 0.250
0.750 0.250 0.250
0.750 0.750 0.750
0.000 0.000 0.500
0.000 0.500 0.000
0.500 0.000 0.000
0.500 0.500 0.500
0.250 0.250 0.250
0.250 0.750 0.750
0.750 0.250 0.750
0.750 0.750 0.250
```

As for the size of the total moment: 0.0005 μB/atom. As for the crystal system: cubic. As for the total DFT energy (no corrections): -5.989 eV/atom. The relative energy among the computed polymorphs is 0.000 eV per atom.


# 18
A plane-wave DFT calculation with PBE was carried out for HoAlZnNi after structural relaxation.

The structure in POSCAR format:
```
HoAlZnNi
1.0
7.070 0.000 0.000
0.000 4.075 0.000
0.000 0.000 9.585
Ho Al Zn Ni
4 4 4 4
Direct
0.000 0.000 0.000
0.000 0.500 0.500
0.500 0.000 0.127
0.500 0.500 0.627
0.306 0.000 0.410
0.306 0.500 0.910
0.694 0.000 0.410
0.694 0.500 0.910
0.194 0.000 0.710
0.194 0.500 0.210
0.806 0.000 0.710
0.806 0.500 0.210
0.000 0.000 0.288
0.000 0.500 0.788
0.500 0.000 0.850
0.500 0.500 0.350
```

As for the size of the total moment: 0.0002 μB/atom. As for the crystal system: orthorhombic. As for the total DFT energy (no corrections): -4.317 eV/atom. The relative energy among the computed polymorphs is 0.006 eV per atom.


# 19
A plane-wave DFT calculation with PBE was carried out for LaTaBeIr2 after structural relaxation.

The structure in POSCAR format:
```
LaTaBeIr2
1.0
4.196 0.000 0.000
0.000 4.196 0.000
0.000 0.000 10.622
La Ta Be Ir
2 2 2 4
Direct
0.000 0.000 0.000
0.500 0.500 0.500
0.000 0.000 0.361
0.500 0.500 0.861
0.000 0.000 0.619
0.500 0.500 0.119
0.000 0.500 0.226
0.000 0.500 0.726
0.500 0.000 0.226
0.500 0.000 0.726
```

As for the size of the total moment: 0.0031 μB/atom. As for the crystal system: tetragonal. As for the total DFT energy (no corrections): -7.994 eV/atom.


# 20
A plane-wave DFT calculation with PBE was carried out for MgInHg after structural relaxation.

The structure in POSCAR format:
```
MgInHg
1.0
6.726 0.000 0.000
0.000 6.726 0.000
0.000 0.000 6.726
Mg In Hg
4 4 4
Direct
0.000 0.000 0.000
0.000 0.500 0.500
0.500 0.000 0.500
0.500 0.500 0.000
0.000 0.000 0.500
0.000 0.500 0.000
0.500 0.000 0.000
0.500 0.500 0.500
0.250 0.250 0.750
0.250 0.750 0.250
0.750 0.250 0.250
0.750 0.750 0.750
```

As for the crystal system: cubic. As for the total DFT energy (no corrections): -1.629 eV/atom.